[1]
DFT (PBE) results for a geometry-optimized MgTe2PtI structure.

The structure in POSCAR format:
```
MgTe2PtI
1.0
5.358 0.000 0.000
0.000 5.358 0.000
0.000 0.000 5.499
Mg Te Pt I
1 2 1 1
Cartesian
0.000 0.000 0.000 Mg
0.000 2.679 2.750 Te
2.679 0.000 2.750 Te
2.679 2.679 2.750 Pt
2.679 2.679 0.000 I
```

Summary:
raw formation energy = 148 meV per atom
energy above the lowest structure with this stoichiometry = 0.000 eV/atom
symmetry = P4/mmm (123)
ρ = 6.33 g/cm3
D(E_F) = 5.389 states/eV/cell



[2]
DFT (PBE) results for a geometry-optimized MgPtWI2 structure.

The structure in POSCAR format:
```
MgPtWI2
1.0
5.607 0.000 0.000
0.000 5.607 0.000
0.000 0.000 5.006
Mg Pt W I
1 1 1 2
Cartesian
0.000 0.000 0.000 Mg
2.804 2.804 2.503 Pt
2.804 2.804 0.000 W
0.000 2.804 2.503 I
2.804 0.000 2.503 I
```

Summary:
raw formation energy = 1061 meV per atom
symmetry = P4/mmm (123)
ρ = 6.93 g/cm3
D(E_F) = 3.032 states/eV/cell



[3]
DFT (PBE) results for a geometry-optimized PuMgI2 structure.

The structure in POSCAR format:
```
PuMgI2
1.0
1.994 1.151 11.122
-1.994 1.151 11.122
0.000 -2.303 11.122
Pu Mg I
1 1 2
Cartesian
0.000 0.000 0.000 Pu
0.000 0.000 16.683 Mg
0.000 0.000 13.274 I
0.000 0.000 20.093 I
```

Summary:
raw formation energy = -521 meV per atom
symmetry = R-3m (166)
ρ = 5.66 g/cm3
D(E_F) = 8.253 states/eV/cell